VASP calculation (PBE) on a relaxed TlMoAsBr2 crystal.

Cell: 5.6830 5.6830 5.4454 Å, 90.00 90.00 90.00°
With the nearest neighbours (Å) after each atom.
Fractional positions:
1 Br 0.5000 0.0000 0.0000  2 Tl 2.84
2 Br 0.0000 0.5000 0.0000  2 Tl 2.84
3 Mo 0.5000 0.5000 0.5000  8 Br 3.94, 4 As 4.02
4 Tl 0.0000 0.0000 0.0000  2 As 2.72, 4 Br 2.84
5 As 0.0000 0.0000 0.5000  2 Tl 2.72

Calculated values
Fermi-level density of states ... 2.508 states/eV/cell
Distance to the lowest polymorph of the same formula ... 1072 meV/atom
Spin magnetization ... 3.393 μB/f.u.
Raw formation energy ... 23.8 kcal/mol of atoms
Symmetry ... P4/mmm